Below is TaMoO2 after structural relaxation, with properties calculated at the GGA+U level.

a b c (Å): 7.200 7.200 7.200
angles (deg): 22.54 22.54 22.54
Sites, in units of the cell vectors:
Mo 0.000 0.000 0.000
O 0.901 0.901 0.901
O 0.099 0.099 0.099
Ta 0.500 0.500 0.500

Calculated values
For the density of states at the Fermi level, the calculation gives 0.429 states/eV/atom. The space group is No. 166. Its final energy is -8.2683 eV/atom. For the distance to the lowest polymorph of the same formula, the calculation gives 0 meV per atom.